Here is a geometry-optimized MnBSe2 structure from the Alexandria database. Energies are from PBE-GGA.

```
4
Lattice="2.0001 1.1548 6.4382 -2.0001 1.1548 6.4382 0.0000 -2.3096 6.4382" Properties=species:S:1:pos:R:3 pbc="T T T"
Mn 0.0000 0.0000 0.0000
B 0.0000 0.0000 9.6572
Se 0.0000 0.0000 7.8042
Se 0.0000 0.0000 11.5103
```

Values from the calculation:
E: -5.409 eV/atom